# NdCu4Ni2 | Alexandria via LeMat-Bulk | PBE | optimized geometry
# - Calculated total energy: -4.804 eV/atom
# - Energy relative to the elements: -0.130 eV per atom
# - Offset from the most stable computed form: 0.00 eV per formula unit
data_NdCu4Ni2
_chemical_formula_sum 'Nd2 Cu8 Ni4'
_cell_length_a 4.914
_cell_length_b 6.360
_cell_length_c 6.365
_cell_angle_alpha 90.00
_cell_angle_beta 90.00
_cell_angle_gamma 90.00
_symmetry_space_group_name_H-M 'I m m m'
_symmetry_Int_Tables_number 71
_symmetry_space_group_name_Hall '-I 2 2'
loop_
_atom_site_label
_atom_site_type_symbol
_atom_site_fract_x
_atom_site_fract_y
_atom_site_fract_z
_atom_site_occupancy
Nd1 Nd 0.000 0.000 0.000 1
Cu1 Cu 0.000 0.307 0.307 1
Ni1 Ni 0.250 0.000 0.500 1